Record 1
Below is a relaxed structure of TaSbIr2Cl, with properties calculated at the GGA-PBE level.

Lattice parameters (Å, degrees): 4.9281 4.6138 4.9281 90.00 90.00 90.00
Fractional positions:
Ir1 0.5000 0.0000 0.0000
Ir2 0.0000 0.0000 0.5000
Ta1 0.0000 0.0000 0.0000
Cl1 0.0000 0.5000 0.0000
Sb1 0.5000 0.5000 0.5000

Properties
Electronic total energy: -6.317 eV per atom
Size of the total moment: 0.00 μB/f.u.
Formation energy without anion corrections: 0.7919 eV/atom
Mass density: 10.7 g/cm³

=====

Record 2
Below is a relaxed structure of Mn3Be8W, with properties calculated at the GGA-PBE level.

Lattice parameters (Å, degrees): 4.2421 4.2421 6.9415 90.00 90.00 120.00
Fractional positions:
Be1 0.1638 0.3276 0.2430
Be2 0.6724 0.8362 0.2430
Be3 0.3333 0.6667 0.4960
Be4 0.5032 0.4968 0.7580
Be5 0.3333 0.6667 0.0030
Be6 0.1638 0.8362 0.2430
Be7 0.5032 0.0064 0.7580
Be8 0.9936 0.4968 0.7580
Mn1 0.6667 0.3333 0.0612
Mn2 0.6667 0.3333 0.4409
Mn3 0.0000 0.0000 0.9349
W1 0.0000 0.0000 0.5610

Properties
Formation enthalpy at 0 K: -0.27 eV per atom
Electronic total energy: -6.123 eV per atom
Size of the total moment: 2.22 μB/f.u.
Mass density: 6.5 g/cm³

=====

Record 3
Below is a relaxed structure of NaSn2ICl4, with properties calculated at the GGA-PBE level.

Lattice parameters (Å, degrees): 4.0735 7.1077 9.2891 72.00 77.33 73.35
Fractional positions:
Cl1 0.8144 0.0869 0.2844
Cl2 0.3734 0.3085 0.9447
Cl3 0.1856 0.9131 0.7156
Cl4 0.6266 0.6915 0.0553
Na1 0.0000 0.0000 0.0000
Sn1 0.8111 0.6252 0.7526
Sn2 0.1889 0.3748 0.2474
I1 0.5000 0.5000 0.5000

Properties
Electronic total energy: -3.361 eV per atom
Size of the total moment: 0.00 μB/f.u.
Formation energy without anion corrections: -1.0784 eV/atom
Mass density: 3.6 g/cm³

=====

Record 4
Below is a relaxed structure of PmGa5Ni, with properties calculated at the GGA-PBE level.

Lattice parameters (Å, degrees): 4.3015 4.3015 6.9288 90.00 90.00 90.00
Fractional positions:
Ga1 0.0000 0.5000 0.3111
Ga2 0.5000 0.0000 0.6889
Ga3 0.0000 0.5000 0.6889
Ga4 0.5000 0.5000 0.0000
Ga5 0.5000 0.0000 0.3111
Pm1 0.0000 0.0000 0.0000
Ni1 0.0000 0.0000 0.5000

Properties
Formation enthalpy at 0 K: -0.46 eV per atom
Electronic total energy: -4.128 eV per atom
Size of the total moment: 0.00 μB/f.u.
Mass density: 7.2 g/cm³

=====

Record 5
Below is a relaxed structure of Zr2W2C, with properties calculated at the GGA-PBE level.

Lattice parameters (Å, degrees): 5.9385 5.9385 5.0717 90.00 90.00 90.00
Fractional positions:
Zr1 0.6643 0.1643 0.0000
Zr2 0.8357 0.6643 0.0000
Zr3 0.1643 0.3357 0.0000
Zr4 0.3357 0.8357 0.0000
W1 0.6508 0.8492 0.5000
W2 0.8492 0.3492 0.5000
W3 0.3492 0.1508 0.5000
W4 0.1508 0.6508 0.5000
C1 0.5000 0.5000 0.0000
C2 0.0000 0.0000 0.0000

Properties
Energy above the most stable polymorph in this dataset: 0 meV/atom
Formation enthalpy at 0 K: 0.89 eV per atom
Electronic total energy: -9.558 eV per atom
Size of the total moment: 0.00 μB/f.u.
Mass density: 10.4 g/cm³

=====

Record 6
Below is a relaxed structure of HgTeI2F, with properties calculated at the GGA-PBE level.

Lattice parameters (Å, degrees): 5.8272 5.8272 5.8597 90.00 90.00 90.00
Fractional positions:
I1 0.5000 0.0000 0.0000
I2 0.0000 0.5000 0.0000
F1 0.5000 0.5000 0.5000
Te1 0.0000 0.0000 0.5000
Hg1 0.0000 0.0000 0.0000

Properties
Energy above the most stable polymorph in this dataset: 386 meV/atom
Electronic total energy: -1.394 eV per atom
Size of the total moment: 1.94 μB/f.u.
Formation energy without anion corrections: 0.2888 eV/atom
Mass density: 5.0 g/cm³

=====

Record 7
Below is a relaxed structure of LiNbCuRe2, with properties calculated at the GGA-PBE level.

Lattice parameters (Å, degrees): 4.1520 4.2571 4.1520 90.00 90.00 90.00
Fractional positions:
Nb1 0.0000 0.5000 0.0000
Cu1 0.5000 0.5000 0.5000
Re1 0.0000 0.0000 0.5000
Re2 0.5000 0.0000 0.0000
Li1 0.0000 0.0000 0.0000

Properties
Formation enthalpy at 0 K: 1.31 eV per atom
Electronic total energy: -6.887 eV per atom
Size of the total moment: 0.00 μB/f.u.
Mass density: 12.1 g/cm³

=====

Record 8
Below is a relaxed structure of La3CrN, with properties calculated at the GGA-PBE level.

Lattice parameters (Å, degrees): 5.1005 5.1005 5.1005 90.00 90.00 90.00
Fractional positions:
La1 0.5000 0.0000 0.0000
La2 0.0000 0.0000 0.5000
La3 0.0000 0.5000 0.0000
Cr1 0.5000 0.5000 0.5000
N1 0.0000 0.0000 0.0000

Properties
Energy above the most stable polymorph in this dataset: 0 meV/atom
Electronic total energy: -6.858 eV per atom
Size of the total moment: 3.33 μB/f.u.
Formation energy without anion corrections: -0.3120 eV/atom
Mass density: 6.0 g/cm³

=====

Record 9
Below is a relaxed structure of Pm5Dy3Ho4, with properties calculated at the GGA-PBE level.

Lattice parameters (Å, degrees): 5.7949 5.6785 14.4091 84.28 78.40 59.32
Fractional positions:
Ho1 0.1798 0.9973 0.6431
Ho2 0.8202 0.0027 0.3569
Ho3 0.0626 0.9989 0.8758
Ho4 0.9374 0.0011 0.1242
Dy1 0.4563 0.3383 0.7492
Dy2 0.0000 0.5000 0.5000
Dy3 0.5437 0.6617 0.2508
Pm1 0.2011 0.3444 0.2535
Pm2 0.6686 0.6638 0.9989
Pm3 0.5000 0.5000 0.5000
Pm4 0.7989 0.6556 0.7465
Pm5 0.3314 0.3362 0.0011

Properties
Energy above the most stable polymorph in this dataset: 214 meV/atom
Formation enthalpy at 0 K: 0.23 eV per atom
Electronic total energy: -4.426 eV per atom
Size of the total moment: 0.00 μB/f.u.
Mass density: 7.8 g/cm³

=====

Record 10
Below is a relaxed structure of Pu4GeH, with properties calculated at the GGA-PBE level.

Lattice parameters (Å, degrees): 5.2530 8.5518 6.4519 48.49 83.02 79.44
Fractional positions:
Pu1 0.1970 0.5258 0.3050
Pu2 0.4668 0.2628 0.7555
Pu3 0.3030 0.1691 0.3050
Pu4 0.9668 0.0183 0.2445
Pu5 0.5332 0.7372 0.2445
Pu6 0.8030 0.4742 0.6950
Pu7 0.0332 0.9817 0.7555
Pu8 0.6970 0.8309 0.6950
Ge1 0.7500 0.3785 0.2431
Ge2 0.2500 0.6215 0.7569
H1 0.7500 0.9911 0.0178
H2 0.2500 0.0089 0.9822

Properties
Energy above the most stable polymorph in this dataset: 118 meV/atom
Electronic total energy: -11.013 eV per atom
Size of the total moment: 0.12 μB/f.u.
Mass density: 16.3 g/cm³

=====

Record 11
Below is a relaxed structure of SiOs2Pb, with properties calculated at the GGA-PBE level.

Lattice parameters (Å, degrees): 3.0590 3.0590 6.8340 90.00 90.00 90.00
Fractional positions:
Si1 0.5000 0.5000 0.7500
Pb1 0.5000 0.5000 0.2500
Os1 0.0000 0.0000 0.9519
Os2 0.0000 0.0000 0.5481

Properties
Energy above the most stable polymorph in this dataset: 59 meV/atom
Electronic total energy: -7.483 eV per atom
Size of the total moment: 0.00 μB/f.u.
Formation energy without anion corrections: 0.4149 eV/atom
Mass density: 16.0 g/cm³

=====

Record 12
Below is a relaxed structure of Pr3Sm2Dy6Ho, with properties calculated at the GGA-PBE level.

Lattice parameters (Å, degrees): 6.2408 6.2408 11.8696 95.01 95.01 119.99
Fractional positions:
Dy1 0.2503 0.2503 0.7529
Dy2 0.9175 0.5846 0.7530
Dy3 0.4154 0.0825 0.2470
Dy4 0.0825 0.4154 0.2470
Dy5 0.7497 0.7497 0.2471
Dy6 0.5846 0.9175 0.7530
Pr1 0.8333 0.1667 0.5000
Pr2 0.1667 0.8333 0.5000
Pr3 0.5000 0.5000 0.5000
Sm1 0.3335 0.6665 0.0000
Sm2 0.6665 0.3335 0.0000
Ho1 0.0000 0.0000 0.0000

Properties
Formation enthalpy at 0 K: 0.02 eV per atom
Electronic total energy: -4.648 eV per atom
Size of the total moment: 0.00 μB/f.u.
Mass density: 7.8 g/cm³

=====

Record 13
Below is a relaxed structure of NiIr2Os, with properties calculated at the GGA-PBE level.

Lattice parameters (Å, degrees): 4.5942 4.5942 2.6808 90.00 90.00 90.00
Fractional positions:
Ir1 0.0000 0.0000 0.0000
Ir2 0.5000 0.5000 0.0000
Os1 0.0000 0.5000 0.5000
Ni1 0.5000 0.0000 0.5000

Properties
Energy above the most stable polymorph in this dataset: 362 meV/atom
Formation enthalpy at 0 K: 0.37 eV per atom
Electronic total energy: -8.317 eV per atom
Size of the total moment: 0.20 μB/f.u.
Mass density: 18.6 g/cm³